A relaxed Ga6CoNi2 crystal, computed with PBE-GGA.

Properties
Crystal system = trigonal
SG = No. 164
Calculated total energy = -39.3 eV for the cell shown
V = 138.4 Å³/cell
Fermi-level density of states = 0.383 states/eV/atom

abc: 4.040 4.040 9.794
angles: 90.00 90.00 120.00
Sites, in units of the cell vectors:
Ga 0.000 0.000 0.248
Ga 0.000 0.000 0.752
Ga 0.333 0.667 0.415
Ga 0.333 0.667 0.920
Ga 0.667 0.333 0.080
Ga 0.667 0.333 0.585
Co 0.000 0.000 0.000
Ni 0.333 0.667 0.667
Ni 0.667 0.333 0.333